The following is a PBE-GGA calculation of an optimized crystal structure of TaTlP2, from Alexandria via LeMat-Bulk.

abc: 3.319 3.307 7.778
angles: 63.68 90.00 90.00
Fractional positions:
1 P 0.000 0.570 0.424
2 P 0.000 0.930 0.076
3 Tl 0.500 0.750 0.750
4 Ta 0.500 0.250 0.250

Properties
Calculated total energy = -6.461 eV per atom
Formation energy from the elements = -201 meV/atom
Crystal system = monoclinic
M_tot = 0.000 μB per cell
Volume = 19.13 Å³ per atom
Density of states at the Fermi level = 1.97 states/eV/f.u.